[1]
VASP calculation (PBE) on a geometry-optimized Tb6In2O structure.

abc: 6.8865 6.8865 6.8867
angles: 60.00 60.00 60.00
Closest atoms and distances in Å follow each position.
Fractional positions:
Tb (0.7470, 0.7470, 0.2536)  1 O 2.41
Tb (0.7467, 0.2529, 0.7471)  1 O 2.40
Tb (0.2530, 0.2530, 0.7464)  1 O 2.41
Tb (0.7471, 0.2533, 0.2529)  1 O 2.40
Tb (0.2533, 0.7471, 0.2529)  1 O 2.40
Tb (0.2529, 0.7467, 0.7471)  1 O 2.40
O (0.5000, 0.5000, 0.5000)  6 Tb 2.40-2.41
In (0.2500, 0.2500, 0.2498)  12 Tb 3.44-3.45
In (0.7500, 0.7500, 0.7502)  12 Tb 3.44-3.45

- space group = Fm-3m
- energy (hartree per atom) = -0.188
- uncorrected formation energy (eV/atom) = -0.8682
- total moment (μB/atom) = 0.000

[2]
VASP calculation (PBE) on a geometry-optimized Pr4TeAu structure.

abc: 4.1005 8.7563 20.5457
angles: 90.00 90.00 90.00
Closest atoms and distances in Å follow each position.
Fractional positions:
Pr (0.2500, 0.1297, 0.5601)  3 Au 3.21-3.35, 2 Te 3.42
Pr (0.7500, 0.8431, 0.6531)  2 Au 3.09, 2 Te 3.38-3.44
Pr (0.2500, 0.5196, 0.4271)  3 Au 3.15-3.20, 1 Te 3.28
Pr (0.7500, 0.9882, 0.2222)  4 Te 3.31-3.35, 4 Pr 3.60-3.70
Pr (0.7500, 0.4804, 0.5729)  3 Au 3.15-3.20, 1 Te 3.28
Pr (0.2500, 0.0196, 0.0729)  3 Au 3.15-3.20, 1 Te 3.28
Pr (0.7500, 0.4882, 0.2778)  4 Te 3.31-3.35, 4 Pr 3.60-3.70
Pr (0.7500, 0.3703, 0.0601)  3 Au 3.21-3.35, 2 Te 3.42
Pr (0.7500, 0.9804, 0.9271)  3 Au 3.15-3.20, 1 Te 3.28
Pr (0.2500, 0.6569, 0.1531)  2 Au 3.09, 2 Te 3.38-3.44
Pr (0.7500, 0.3431, 0.8469)  2 Au 3.09, 2 Te 3.38-3.44
Pr (0.2500, 0.6297, 0.9399)  3 Au 3.21-3.35, 2 Te 3.42
Pr (0.7500, 0.8703, 0.4399)  3 Au 3.21-3.35, 2 Te 3.42
Pr (0.2500, 0.5118, 0.7222)  4 Te 3.31-3.35, 4 Pr 3.60-3.70
Pr (0.2500, 0.0118, 0.7778)  4 Te 3.31-3.35, 4 Pr 3.60-3.70
Pr (0.2500, 0.1569, 0.3469)  2 Au 3.09, 2 Te 3.38-3.44
Te (0.2500, 0.7801, 0.3122)  9 Pr 3.28-3.44
Te (0.7500, 0.7199, 0.8122)  9 Pr 3.28-3.44
Te (0.7500, 0.2199, 0.6878)  9 Pr 3.28-3.44
Te (0.2500, 0.2801, 0.1878)  9 Pr 3.28-3.44
Au (0.7500, 0.7522, 0.0484)  8 Pr 3.09-3.35
Au (0.2500, 0.7478, 0.5484)  8 Pr 3.09-3.35
Au (0.7500, 0.2522, 0.4516)  8 Pr 3.09-3.35
Au (0.2500, 0.2478, 0.9516)  8 Pr 3.09-3.35

- space group = Pnma
- energy (hartree per atom) = -0.183
- uncorrected formation energy (eV/atom) = -0.7327
- total moment (μB/atom) = 0.000

[3]
VASP calculation (PBE) on a geometry-optimized La2BeTlPd6 structure.

abc: 5.9131 7.8166 5.9175
angles: 67.56 60.02 90.12
Closest atoms and distances in Å follow each position.
Fractional positions:
Pd (0.7351, 0.6792, 0.0518)  1 Be 2.18
Pd (0.2162, 0.6810, 0.0505)  1 Be 2.18
Pd (0.7838, 0.3190, 0.9495)  1 Be 2.18
Pd (0.7349, 0.6774, 0.5324)  1 Be 2.18
Pd (0.2651, 0.3226, 0.4676)  1 Be 2.18
Pd (0.2649, 0.3208, 0.9482)  1 Be 2.18
La (0.2475, 0.7376, 0.5070)  7 Pd 2.98-3.34
La (0.7525, 0.2624, 0.4930)  7 Pd 2.98-3.34
Be (0.5000, 0.5000, 0.0000)  6 Pd 2.18
Tl (0.0000, 0.0000, 0.0000)  6 Pd 2.78-2.79

- space group = P-1
- energy (hartree per atom) = -0.195
- energy of formation (kJ/mol of atoms) = -57.2
- total moment (μB/atom) = 0.000

[4]
VASP calculation (PBE) on a geometry-optimized BaZn2AsP structure.

abc: 5.9773 5.9773 8.5577
angles: 110.44 110.44 90.00
Closest atoms and distances in Å follow each position.
Fractional positions:
Zn (0.1906, 0.1924, 0.8830)  2 As 2.50, 2 P 2.63-2.65
Zn (0.1924, 0.6924, 0.8830)  2 As 2.50, 2 P 2.63-2.65
Zn (0.6924, 0.6906, 0.8830)  2 As 2.50, 2 P 2.63-2.65
Zn (0.6906, 0.1906, 0.8830)  2 As 2.50, 2 P 2.63-2.65
As (0.5315, 0.5315, 0.0631)  4 Zn 2.50
As (0.0315, 0.0315, 0.0631)  4 Zn 2.50
P (0.3353, 0.8353, 0.6706)  4 Zn 2.63-2.65
P (0.8353, 0.3353, 0.6706)  4 Zn 2.63-2.65
Ba (0.7504, 0.7504, 0.5008)  4 P 3.24, 1 As 3.26, 4 Zn 3.54
Ba (0.2504, 0.2504, 0.5008)  4 P 3.24, 1 As 3.26, 4 Zn 3.54

- space group = I4cm
- energy (hartree per atom) = -0.127
- energy of formation (kJ/mol of atoms) = -53.2
- total moment (μB/atom) = 0.000

[5]
VASP calculation (PBE) on a geometry-optimized SrAsCl2 structure.

abc: 3.7495 5.9663 4.4429
angles: 90.00 90.00 90.00
Closest atoms and distances in Å follow each position.
Fractional positions:
Cl (0.0000, 0.0000, 0.0000)  4 Sr 2.91
Cl (0.5000, 0.5000, 0.0000)  4 As 2.91
As (0.0000, 0.5000, 0.5000)  4 Cl 2.91
Sr (0.5000, 0.0000, 0.5000)  4 Cl 2.91

- space group = Pmmm
- energy (hartree per atom) = -0.132
- uncorrected formation energy (eV/atom) = -1.0785
- total moment (μB/atom) = 0.000

[6]
VASP calculation (PBE) on a geometry-optimized NbV2Ru2 structure.

abc: 7.2586 7.2586 2.8474
angles: 90.00 90.00 90.00
Closest atoms and distances in Å follow each position.
Fractional positions:
V (0.8397, 0.3397, 0.5000)  6 Ru 2.51-2.60
V (0.3397, 0.1603, 0.5000)  6 Ru 2.51-2.60
V (0.6603, 0.8397, 0.5000)  6 Ru 2.51-2.60
V (0.1603, 0.6603, 0.5000)  6 Ru 2.51-2.60
Ru (0.8619, 0.6381, 0.0000)  6 V 2.51-2.60, 2 Nb 2.81
Ru (0.1381, 0.3619, 0.0000)  6 V 2.51-2.60, 2 Nb 2.81
Ru (0.3619, 0.8619, 0.0000)  6 V 2.51-2.60, 2 Nb 2.81
Ru (0.6381, 0.1381, 0.0000)  6 V 2.51-2.60, 2 Nb 2.81
Nb (0.0000, 0.0000, 0.0000)  4 Ru 2.81, 2 Nb 2.85, 8 V 3.08
Nb (0.5000, 0.5000, 0.0000)  4 Ru 2.81, 2 Nb 2.85, 8 V 3.08

- space group = P4/mbm
- energy (hartree per atom) = -0.346
- energy of formation (kJ/mol of atoms) = -5.0
- total moment (μB/atom) = 0.000